Version A
Entry from the Alexandria database: crystalline Ho2ZrBi at its relaxed geometry (GGA-PBE).

Structure (POSCAR):
```
Ho2ZrBi
1.0
4.615 0.000 0.000
0.000 4.793 0.000
0.000 0.000 4.793
Ho Zr Bi
2 1 1
direct
0.000 0.500 0.000 Ho
0.000 0.000 0.500 Ho
0.500 0.000 0.000 Zr
0.500 0.500 0.500 Bi
```

## Properties
Symmetry: No. 123
Size of the total moment, μB/f.u.: 0.00
Mass density, g cm⁻³: 9.9



Version B
Entry from the Alexandria database: crystalline Ho2ZrBi at its relaxed geometry (GGA-PBE).

Structure (POSCAR):
```
Ho2ZrBi
1.0
3.441 0.000 0.000
1.721 2.980 0.000
1.721 0.993 11.612
Zr Ho Bi
1 2 1
direct
0.500 0.500 0.500 Zr
0.908 0.908 0.275 Ho
0.092 0.092 0.725 Ho
0.000 0.000 0.000 Bi
```

## Properties
Symmetry: No. 166
Size of the total moment, μB/f.u.: 0.00
Mass density, g cm⁻³: 8.8



Version C
Entry from the Alexandria database: crystalline Ho2ZrBi at its relaxed geometry (GGA-PBE).

Structure (POSCAR):
```
Ho2ZrBi
1.0
3.992 0.000 0.000
0.000 3.992 0.000
0.000 0.000 6.923
Zr Bi Ho
1 1 2
direct
0.500 0.500 0.500 Zr
0.500 0.500 0.000 Bi
0.000 0.000 0.247 Ho
0.000 0.000 0.753 Ho
```

## Properties
Symmetry: No. 123
Size of the total moment, μB/f.u.: 1.29
Mass density, g cm⁻³: 9.5



Preferred: version C; penalty for the next structure: 35 meV/atom.



Version A
Entry from the Alexandria database: crystalline Bi4I at its relaxed geometry (GGA-PBE).

Structure (POSCAR):
```
Bi4I
1.0
-3.851 4.040 -1.956
-3.531 -1.135 4.607
2.772 4.167 3.151
Bi I
4 1
direct
0.000 0.500 0.500 Bi
0.500 0.500 0.000 Bi
0.500 0.000 0.500 Bi
0.000 0.000 0.000 Bi
0.500 0.500 0.500 I
```

## Properties
Symmetry: No. 221
Size of the total moment, μB/f.u.: 0.00
Mass density, g cm⁻³: 7.7



Version B
Entry from the Alexandria database: crystalline Bi4I at its relaxed geometry (GGA-PBE).

Structure (POSCAR):
```
Bi4I
1.0
-0.591 4.297 -1.428
-5.743 -1.974 -3.563
-9.506 1.398 8.142
Bi I
8 2
direct
0.592 0.799 0.229 Bi
0.583 0.440 0.130 Bi
0.417 0.560 0.870 Bi
0.917 0.440 0.630 Bi
0.083 0.560 0.370 Bi
0.408 0.201 0.771 Bi
0.092 0.201 0.271 Bi
0.908 0.799 0.729 Bi
0.000 0.000 0.000 I
0.500 0.000 0.500 I
```

## Properties
Symmetry: No. 14
Size of the total moment, μB/f.u.: 0.00
Mass density, g cm⁻³: 8.2



Preferred: version B; penalty for the next structure: 952 meV/atom.



Version A
Entry from the Alexandria database: crystalline InBiI at its relaxed geometry (GGA-PBE).

Structure (POSCAR):
```
InBiI
1.0
4.743 0.000 0.000
0.000 6.197 0.000
0.000 0.000 15.025
I Bi In
4 4 4
direct
0.000 0.000 0.050 I
0.000 0.500 0.450 I
0.500 0.000 0.550 I
0.500 0.500 0.950 I
0.000 0.500 0.751 Bi
0.500 0.500 0.251 Bi
0.000 0.000 0.749 Bi
0.500 0.000 0.249 Bi
0.001 0.000 0.379 In
0.999 0.500 0.121 In
0.501 0.500 0.621 In
0.499 0.000 0.879 In
```

## Properties
Symmetry: No. 62
Size of the total moment, μB/f.u.: 0.00
Mass density, g cm⁻³: 6.8



Version B
Entry from the Alexandria database: crystalline InBiI at its relaxed geometry (GGA-PBE).

Structure (POSCAR):
```
InBiI
1.0
-1.150 3.809 -2.080
-0.520 0.055 -4.452
-14.644 -0.875 1.659
I In Bi
2 2 2
direct
0.293 0.127 0.096 I
0.039 0.249 0.486 I
0.786 0.876 0.362 In
0.545 0.499 0.220 In
0.536 0.004 0.733 Bi
0.794 0.374 0.848 Bi
```

## Properties
Symmetry: No. 2
Size of the total moment, μB/f.u.: 0.00
Mass density, g cm⁻³: 5.9



Preferred: version B; penalty for the next structure: 107 meV/atom.



Version A
Entry from the Alexandria database: crystalline In2BiI8 at its relaxed geometry (GGA-PBE).

Structure (POSCAR):
```
In2BiI8
1.0
-4.800 7.645 -1.228
-1.995 1.123 -8.705
-8.681 -1.365 1.947
I In Bi
8 2 1
direct
0.733 0.185 0.856 I
0.208 0.714 0.714 I
0.267 0.144 0.815 I
0.792 0.286 0.286 I
0.267 0.815 0.144 I
0.802 0.624 0.624 I
0.198 0.376 0.376 I
0.733 0.856 0.185 I
0.541 0.203 0.203 In
0.459 0.797 0.797 In
0.000 0.000 0.000 Bi
```

## Properties
Symmetry: No. 12
Size of the total moment, μB/f.u.: 0.00
Mass density, g cm⁻³: 3.8



Version B
Entry from the Alexandria database: crystalline In2BiI8 at its relaxed geometry (GGA-PBE).

Structure (POSCAR):
```
In2BiI8
1.0
-1.451 3.810 6.661
-8.506 -2.954 0.765
1.040 -7.246 5.300
I Bi In
8 1 2
direct
0.825 0.599 0.599 I
0.808 0.703 0.084 I
0.175 0.401 0.401 I
0.808 0.084 0.703 I
0.316 0.827 0.827 I
0.192 0.916 0.297 I
0.684 0.173 0.173 I
0.192 0.297 0.916 I
0.000 0.000 0.000 Bi
0.679 0.786 0.786 In
0.321 0.214 0.214 In
```

## Properties
Symmetry: No. 12
Size of the total moment, μB/f.u.: 0.00
Mass density, g cm⁻³: 3.9



Preferred: version B; penalty for the next structure: 29 meV/atom.